A geometry-optimized La2ScNiO6 structure, computed with PBE+U.

```
La2ScNiO6
1.0
-4.466 3.181 -0.796
-0.374 -1.832 -5.225
-5.025 -6.053 2.481
O La Ni Sc
12 4 2 2
Direct
0.704 0.275 0.954
0.271 0.707 0.450
0.296 0.725 0.046
0.588 0.020 0.254
0.912 0.520 0.246
0.088 0.480 0.754
0.796 0.775 0.546
0.412 0.980 0.746
0.204 0.225 0.454
0.771 0.793 0.950
0.729 0.293 0.550
0.229 0.207 0.050
0.010 0.965 0.254
0.490 0.465 0.246
0.990 0.035 0.746
0.510 0.535 0.754
0.500 0.000 0.000
0.000 0.500 0.500
0.000 0.500 0.000
0.500 0.000 0.500
```

Output
Energy: -7.6583 eV per atom